# OsRh2 (meta-GGA SCAN, single point on PBEsol structure)
# calculated formation energy: 39 meV/atom
# excess energy over the best structure of this formula in the dataset: 23 meV/atom
# calculated total energy: -46.435 eV per atom
# magnetic moment: 0.00 μB/f.u.
# density: 16.090 Mg/m³
data_OsRh2
_chemical_formula_sum 'Os1 Rh2'
_cell_length_a 2.6799
_cell_length_b 2.6799
_cell_length_c 6.5714
_cell_angle_alpha 90.00
_cell_angle_beta 90.00
_cell_angle_gamma 120.00
_space_group_name_H-M_alt 'P -3 m 1'
_space_group_IT_number 164
_space_group_name_Hall '-P 3 2"'
loop_
_atom_site_label
_atom_site_type_symbol
_atom_site_fract_x
_atom_site_fract_y
_atom_site_fract_z
Os1 Os 0.0000 0.0000 0.0000
Rh1 Rh 0.3333 0.6667 0.6709



# YTl2Ru (meta-GGA SCAN, single point on PBEsol structure)
# calculated formation energy: 40 meV/atom
# excess energy over the best structure of this formula in the dataset: 91 meV/atom
# calculated total energy: -51.806 eV per atom
# magnetic moment: 0.64 μB/f.u.
# density: 11.918 Mg/m³
data_YTl2Ru
_chemical_formula_sum 'Y1 Tl2 Ru1'
_cell_length_a 3.382
_cell_length_b 3.382
_cell_length_c 7.293
_cell_angle_alpha 90.00
_cell_angle_beta 90.00
_cell_angle_gamma 90.00
_space_group_name_H-M_alt 'P 4/m m m'
_space_group_IT_number 123
_space_group_name_Hall '-P 4 2'
loop_
_atom_site_label
_atom_site_type_symbol
_atom_site_fract_x
_atom_site_fract_y
_atom_site_fract_z
Y1 Y 0.000 0.000 0.000
Tl1 Tl 0.500 0.500 0.288
Ru1 Ru 0.000 0.000 0.500



# CsHg3Au (meta-GGA SCAN, single point on PBEsol structure)
# calculated formation energy: -276 meV/atom
# excess energy over the best structure of this formula in the dataset: 7 meV/atom
# calculated total energy: -62.569 eV per atom
# magnetic moment: 0.00 μB/f.u.
# density: 9.833 Mg/m³
data_CsHg3Au
_chemical_formula_sum 'Cs1 Hg3 Au1'
_cell_length_a 5.398
_cell_length_b 5.398
_cell_length_c 5.398
_cell_angle_alpha 90.00
_cell_angle_beta 90.00
_cell_angle_gamma 90.00
_space_group_name_H-M_alt 'P m -3 m'
_space_group_IT_number 221
_space_group_name_Hall '-P 4 2 3'
loop_
_atom_site_label
_atom_site_type_symbol
_atom_site_fract_x
_atom_site_fract_y
_atom_site_fract_z
Cs1 Cs 0.000 0.000 0.000
Hg1 Hg 0.000 0.500 0.500
Au1 Au 0.500 0.500 0.500